(1)
Density functional theory data (GGA-PBE) for a relaxed Tb8Dy5Pu crystal.

The total energy is -5.030 eV/atom. The energy of formation comes out at 284 meV per atom. As for the crystal system: tetragonal.

The structure belongs to space group I-4 (No. 82); the cell edges are 9.955, 9.955 and 9.125 Å and the angles 90.00°, 90.00° and 90.00°. The inequivalent atoms are Tb at (0.033, 0.161, 0.191), Tb at (0.152, 0.254, 0.540), Dy at (0.000, 0.500, 0.250), Dy at (0.076, 0.340, 0.877) and Pu at (0.000, 0.000, 0.500).

(2)
Density functional theory data (GGA-PBE) for a relaxed TbDyPu2 crystal.

The calculation puts the energy above the most stable polymorph in this dataset at 6 meV per atom. The total energy is -9.289 eV/atom. The energy of formation comes out at 185 meV per atom. As for the crystal system: trigonal.

The structure belongs to space group R-3m (No. 166, hexagonal axes); the cell edges are 3.4476, 3.4476 and 34.1654 Å and the angles 90.00°, 90.00° and 120.00°. The inequivalent atoms are Tb at (0.0000, 0.0000, 0.0000), Dy at (0.0000, 0.0000, 0.5000) and Pu at (0.0000, 0.0000, 0.2498).

(3)
Density functional theory data (GGA-PBE) for a relaxed Tb2DyPu3Te6 crystal.

The total energy is -7.527 eV/atom. Its uncorrected formation energy is -1.218 eV/atom. As for the crystal system: monoclinic.

The structure belongs to space group C2/m (No. 12); the cell edges are 19.161, 4.389 and 8.808 Å and the angles 90.00°, 102.95° and 90.00°. The inequivalent atoms are Tb at (0.167, 0.000, 0.337), Dy at (0.000, 0.500, 0.000), Pu at (0.000, 0.500, 0.500), Pu at (0.167, 0.000, 0.836), Te at (0.001, 0.000, 0.247), Te at (0.166, 0.500, 0.087) and Te at (0.168, 0.500, 0.583).

(4)
Density functional theory data (GGA-PBE) for a relaxed TbDy3Pu2Te6 crystal.

The total energy is -6.742 eV/atom. Its uncorrected formation energy is -1.246 eV/atom. As for the crystal system: monoclinic.

The structure belongs to space group C2/m (No. 12); the cell edges are 19.127, 4.362 and 8.797 Å and the angles 90.00°, 103.67° and 90.00°. The inequivalent atoms are Tb at (0.000, 0.000, 0.000), Dy at (0.000, 0.000, 0.500), Dy at (0.167, 0.500, 0.834), Pu at (0.166, 0.500, 0.333), Te at (0.002, 0.500, 0.750), Te at (0.166, 0.000, 0.586) and Te at (0.167, 0.000, 0.080).

(5)
Density functional theory data (GGA-PBE) for a relaxed Tb3DyPu2Te6 crystal.

The total energy is -6.756 eV/atom. Its uncorrected formation energy is -1.255 eV/atom. As for the crystal system: monoclinic.

The structure belongs to space group C2/m (No. 12); the cell edges are 19.152, 4.369 and 8.809 Å and the angles 90.00°, 103.65° and 90.00°. The inequivalent atoms are Tb at (0.000, 0.000, 0.000), Tb at (0.168, 0.500, 0.334), Dy at (0.000, 0.000, 0.500), Pu at (0.166, 0.500, 0.833), Te at (0.002, 0.500, 0.252), Te at (0.166, 0.000, 0.085) and Te at (0.166, 0.000, 0.581).

(6)
Density functional theory data (GGA-PBE) for a relaxed TbDyPu2Te5 crystal.

The total energy is -6.619 eV/atom. Its uncorrected formation energy is -0.663 eV/atom. As for the crystal system: tetragonal.

The structure belongs to space group P4/mmm (No. 123); the cell edges are 5.553, 5.553 and 11.565 Å and the angles 90.00°, 90.00° and 90.00°. The inequivalent atoms are Tb at (0.000, 0.000, 0.000), Dy at (0.000, 0.000, 0.500), Pu at (0.500, 0.500, 0.180), Te at (0.000, 0.000, 0.256), Te at (0.000, 0.500, 0.000) and Te at (0.500, 0.500, 0.500).

(7)
Density functional theory data (GGA-PBE) for a relaxed Tb3Dy6PuTh2 crystal.

The total energy is -5.855 eV/atom. The energy of formation comes out at 35 meV per atom. As for the crystal system: monoclinic.

The structure belongs to space group C2/m (No. 12); the cell edges are 6.123, 10.605 and 11.719 Å and the angles 90.00°, 100.03° and 90.00°. The inequivalent atoms are Tb at (0.000, 0.000, 0.000), Tb at (0.000, 0.333, 0.000), Dy at (0.248, 0.334, 0.746), Dy at (0.250, 0.000, 0.746), Pu at (0.000, 0.500, 0.500) and Th at (0.000, 0.167, 0.500).

(8)
Density functional theory data (GGA-PBE) for a relaxed TbDyTmPu crystal.

The total energy is -6.818 eV/atom. The energy of formation comes out at 191 meV per atom. As for the crystal system: cubic.

The structure belongs to space group F-43m (No. 216); the cell edges are 7.866, 7.866 and 7.866 Å and the angles 90.00°, 90.00° and 90.00°. The inequivalent atoms are Tb at (0.000, 0.000, 0.000), Dy at (0.250, 0.250, 0.250), Tm at (0.250, 0.250, 0.750) and Pu at (0.000, 0.000, 0.500).

(9)
Density functional theory data (GGA-PBE) for a relaxed Tb3Dy6Tm2Pu crystal.

The total energy is -5.356 eV/atom. The energy of formation comes out at 42 meV per atom. As for the crystal system: monoclinic.

The structure belongs to space group C2/m (No. 12); the cell edges are 6.104, 10.574 and 11.658 Å and the angles 90.00°, 100.07° and 90.00°. The inequivalent atoms are Tb at (0.000, 0.000, 0.000), Tb at (0.000, 0.333, 0.000), Dy at (0.247, 0.335, 0.747), Dy at (0.248, 0.500, 0.253), Tm at (0.000, 0.167, 0.500) and Pu at (0.000, 0.500, 0.500).

(10)
Density functional theory data (GGA-PBE) for a relaxed Tb6Dy3Tm2Pu crystal.

The total energy is -5.363 eV/atom. The energy of formation comes out at 42 meV per atom. As for the crystal system: monoclinic.

The structure belongs to space group C2/m (No. 12); the cell edges are 6.117, 10.593 and 11.667 Å and the angles 90.00°, 100.09° and 90.00°. The inequivalent atoms are Tb at (0.247, 0.165, 0.247), Tb at (0.248, 0.000, 0.753), Dy at (0.000, 0.167, 0.500), Dy at (0.000, 0.500, 0.500), Tm at (0.000, 0.333, 0.000) and Pu at (0.000, 0.000, 0.000).

(11)
Density functional theory data (GGA-PBE) for a relaxed Tb2Dy3Tm6Pu crystal.

The total energy is -5.309 eV/atom. The energy of formation comes out at 43 meV per atom. As for the crystal system: monoclinic.

The structure belongs to space group C2/m (No. 12); the cell edges are 6.072, 10.518 and 11.560 Å and the angles 90.00°, 100.10° and 90.00°. The inequivalent atoms are Tb at (0.000, 0.167, 0.000), Dy at (0.000, 0.000, 0.500), Dy at (0.000, 0.333, 0.500), Tm at (0.247, 0.335, 0.248), Tm at (0.247, 0.500, 0.751) and Pu at (0.000, 0.500, 0.000).

(12)
Density functional theory data (GGA-PBE) for a relaxed Tb3Dy6Y2Pu crystal.

The total energy is -5.685 eV/atom. The energy of formation comes out at 46 meV per atom. As for the crystal system: monoclinic.

The structure belongs to space group C2/m (No. 12); the cell edges are 6.133, 10.624 and 11.707 Å and the angles 90.00°, 100.09° and 90.00°. The inequivalent atoms are Tb at (0.000, 0.000, 0.000), Tb at (0.000, 0.333, 0.000), Dy at (0.246, 0.500, 0.252), Dy at (0.248, 0.335, 0.748), Y at (0.000, 0.167, 0.500) and Pu at (0.000, 0.500, 0.500).

(13)
Density functional theory data (GGA-PBE) for a relaxed Tb3Dy2Y6Pu crystal.

The total energy is -6.303 eV/atom. The energy of formation comes out at 48 meV per atom. As for the crystal system: monoclinic.

The structure belongs to space group C2/m (No. 12); the cell edges are 6.152, 10.657 and 11.737 Å and the angles 90.00°, 100.08° and 90.00°. The inequivalent atoms are Tb at (0.000, 0.000, 0.000), Tb at (0.000, 0.333, 0.000), Dy at (0.000, 0.167, 0.500), Y at (0.247, 0.500, 0.252), Y at (0.248, 0.335, 0.748) and Pu at (0.000, 0.500, 0.500).

(14)
Density functional theory data (GGA-PBE) for a relaxed DyPuTc2 crystal.

The calculation puts the energy above the most stable polymorph in this dataset at 0 meV per atom. The total energy is -9.908 eV/atom. The energy of formation comes out at 8 meV per atom. As for the crystal system: tetragonal.

The structure belongs to space group P4/mmm (No. 123); the cell edges are 3.358, 3.358 and 6.955 Å and the angles 90.00°, 90.00° and 90.00°. The inequivalent atoms are Dy at (0.000, 0.000, 0.000), Pu at (0.000, 0.000, 0.500) and Tc at (0.500, 0.500, 0.283).

(15)
Density functional theory data (GGA-PBE) for a relaxed DyPu3Tc3 crystal.

The total energy is -10.497 eV/atom. The energy of formation comes out at 746 meV per atom. As for the crystal system: cubic.

The structure belongs to space group Pm-3n (No. 223); the cell edges are 7.095, 7.095 and 7.095 Å and the angles 90.00°, 90.00° and 90.00°. The inequivalent atoms are Dy at (0.000, 0.000, 0.000), Pu at (0.000, 0.250, 0.500) and Tc at (0.000, 0.500, 0.250).

(16)
Density functional theory data (GGA-PBE) for a relaxed Dy2PuTc crystal.

The calculation puts the energy above the most stable polymorph in this dataset at 174 meV per atom. The total energy is -8.388 eV/atom. The energy of formation comes out at 88 meV per atom. As for the crystal system: tetragonal.

The structure belongs to space group P4/mmm (No. 123); the cell edges are 3.435, 3.435 and 8.582 Å and the angles 90.00°, 90.00° and 90.00°. The inequivalent atoms are Dy at (0.000, 0.000, 0.192), Pu at (0.500, 0.500, 0.500) and Tc at (0.500, 0.500, 0.000).

(17)
Density functional theory data (GGA-PBE) for a relaxed Dy2PuTc crystal.

The calculation puts the energy above the most stable polymorph in this dataset at 0 meV per atom. The total energy is -8.562 eV/atom. The energy of formation comes out at -86 meV per atom. As for the crystal system: orthorhombic.

The structure belongs to space group Pnma (No. 62); the cell edges are 7.148, 9.434 and 6.252 Å and the angles 90.00°, 90.00° and 90.00°. The inequivalent atoms are Dy at (0.177, 0.065, 0.171), Pu at (0.047, 0.250, 0.653) and Tc at (0.134, 0.750, 0.004).

(18)
Density functional theory data (GGA-PBE) for a relaxed DyPuTc2 crystal.

The calculation puts the energy above the most stable polymorph in this dataset at 41 meV per atom. The total energy is -9.867 eV/atom. The energy of formation comes out at 50 meV per atom. As for the crystal system: cubic.

The structure belongs to space group Fm-3m (No. 225); the cell edges are 6.771, 6.771 and 6.771 Å and the angles 90.00°, 90.00° and 90.00°. The inequivalent atoms are Dy at (0.000, 0.000, 0.000), Pu at (0.000, 0.000, 0.500) and Tc at (0.250, 0.250, 0.250).

(19)
Density functional theory data (GGA-PBE) for a relaxed Dy2PuTc crystal.

The calculation puts the energy above the most stable polymorph in this dataset at 442 meV per atom. The total energy is -8.120 eV/atom. The energy of formation comes out at 355 meV per atom. As for the crystal system: trigonal.

The structure belongs to space group R-3m (No. 166, hexagonal axes); the cell edges are 3.3644, 3.3644 and 32.2855 Å and the angles 90.00°, 90.00° and 120.00°. The inequivalent atoms are Dy at (0.0000, 0.0000, 0.1031), Pu at (0.0000, 0.0000, 0.0000) and Tc at (0.0000, 0.0000, 0.5000).

(20)
Density functional theory data (GGA-PBE) for a relaxed DyPuTc2 crystal.

The calculation puts the energy above the most stable polymorph in this dataset at 81 meV per atom. The total energy is -9.827 eV/atom. The energy of formation comes out at 90 meV per atom. As for the crystal system: tetragonal.

The structure belongs to space group P4/mmm (No. 123); the cell edges are 4.813, 4.813 and 3.366 Å and the angles 90.00°, 90.00° and 90.00°. The inequivalent atoms are Dy at (0.000, 0.000, 0.000), Pu at (0.500, 0.500, 0.000) and Tc at (0.000, 0.500, 0.500).